No. 1
The following is a DFT calculation (meta-GGA SCAN) of Cd4SF6 at its PBEsol-relaxed geometry.

Offset from the most stable computed form = 0.00 eV per formula unit
VASP energy = -15.954 eV per atom
Formation energy from raw total energies = -48.2 kcal/mol of atoms

abc: 12.583 12.583 12.583
angles: 17.51 17.51 17.51
Fractional positions:
Cd 0.126 0.126 0.126
Cd 0.292 0.292 0.292
Cd 0.708 0.708 0.708
Cd 0.874 0.874 0.874
S 0.500 0.500 0.500
F 0.063 0.063 0.063
F 0.230 0.230 0.230
F 0.354 0.354 0.354
F 0.646 0.646 0.646
F 0.770 0.770 0.770
F 0.937 0.937 0.937



No. 2
The following is a DFT calculation (meta-GGA SCAN) of POs at its PBEsol-relaxed geometry.

ΔH_f (0 K) = 0.24 eV per atom
VASP energy = -40.899 eV per atom

abc: 2.940 2.940 3.553
angles: 90.00 90.00 120.00
Fractional positions:
P 0.000 0.000 0.000
Os 0.667 0.333 0.500



No. 3
The following is a DFT calculation (meta-GGA SCAN) of La2PbW at its PBEsol-relaxed geometry.

ΔH_f (0 K) = 0.21 eV per atom
VASP energy = -57.713 eV per atom

abc: 3.151 3.584 9.375
angles: 90.00 90.00 90.00
Fractional positions:
La 0.000 0.000 0.213
La 0.000 0.000 0.787
Pb 0.500 0.500 0.500
W 0.500 0.500 0.000



No. 4
The following is a DFT calculation (meta-GGA SCAN) of Ag2AuBr at its PBEsol-relaxed geometry.

Offset from the most stable computed form = 0.80 eV per formula unit
VASP energy = -37.634 eV per atom
Formation energy from raw total energies = 4.7 kcal/mol of atoms

abc: 3.059 5.044 9.647
angles: 90.00 90.00 90.00
Fractional positions:
Ag 0.000 0.000 0.000
Ag 0.000 0.500 0.235
Ag 0.500 0.000 0.235
Ag 0.500 0.500 0.000
Au 0.000 0.500 0.762
Au 0.500 0.000 0.762
Br 0.000 0.000 0.482
Br 0.500 0.500 0.482



No. 5
The following is a DFT calculation (meta-GGA SCAN) of MnInSi2 at its PBEsol-relaxed geometry.

VASP energy = -17.553 eV per atom
Formation energy from raw total energies = 8.4 kcal/mol of atoms

abc: 3.940 3.940 8.200
angles: 90.00 90.00 90.00
Fractional positions:
Mn 0.000 0.000 0.000
Mn 0.500 0.500 0.500
In 0.000 0.500 0.750
In 0.500 0.000 0.250
Si 0.000 0.000 0.500
Si 0.000 0.500 0.250
Si 0.500 0.000 0.750
Si 0.500 0.500 0.000



No. 6
The following is a DFT calculation (meta-GGA SCAN) of MnAlGe3 at its PBEsol-relaxed geometry.

ΔH_f (0 K) = 0.72 eV per atom
VASP energy = -15.930 eV per atom

abc: 4.783 4.783 4.783
angles: 90.00 90.00 90.00
Fractional positions:
Mn 0.000 0.000 0.000
Al 0.500 0.500 0.500
Ge 0.000 0.500 0.500
Ge 0.500 0.000 0.500
Ge 0.500 0.500 0.000



No. 7
The following is a DFT calculation (meta-GGA SCAN) of BaCaY at its PBEsol-relaxed geometry.

Offset from the most stable computed form = 1.99 eV per formula unit
ΔH_f (0 K) = 0.89 eV per atom
VASP energy = -24.799 eV per atom

abc: 8.081 8.081 8.081
angles: 90.00 90.00 90.00
Fractional positions:
Ba 0.000 0.000 0.000
Ba 0.000 0.500 0.500
Ba 0.500 0.000 0.500
Ba 0.500 0.500 0.000
Ca 0.250 0.250 0.750
Ca 0.250 0.750 0.250
Ca 0.750 0.250 0.250
Ca 0.750 0.750 0.750
Y 0.250 0.250 0.250
Y 0.250 0.750 0.750
Y 0.750 0.250 0.750
Y 0.750 0.750 0.250



No. 8
The following is a DFT calculation (meta-GGA SCAN) of Y2BeZnSe at its PBEsol-relaxed geometry.

VASP energy = -19.078 eV per atom
Formation energy from raw total energies = -8.1 kcal/mol of atoms

abc: 5.308 5.308 4.006
angles: 90.00 90.00 90.00
Fractional positions:
Y 0.000 0.500 0.000
Y 0.500 0.000 0.000
Be 0.000 0.000 0.500
Zn 0.000 0.000 0.000
Se 0.500 0.500 0.500



No. 9
The following is a DFT calculation (meta-GGA SCAN) of Hf2Ge2Rh at its PBEsol-relaxed geometry.

ΔH_f (0 K) = -0.87 eV per atom
VASP energy = -40.331 eV per atom

abc: 6.371 6.371 4.116
angles: 90.00 90.00 90.00
Fractional positions:
Hf 0.168 0.332 0.000
Hf 0.332 0.832 0.000
Hf 0.668 0.168 0.000
Hf 0.832 0.668 0.000
Ge 0.139 0.639 0.500
Ge 0.361 0.139 0.500
Ge 0.639 0.861 0.500
Ge 0.861 0.361 0.500
Rh 0.000 0.000 0.500
Rh 0.500 0.500 0.500



No. 10
The following is a DFT calculation (meta-GGA SCAN) of Zr2MnBe at its PBEsol-relaxed geometry.

ΔH_f (0 K) = 0.28 eV per atom
VASP energy = -20.720 eV per atom

abc: 3.179 3.179 22.460
angles: 90.00 90.00 120.00
Fractional positions:
Zr 0.000 0.000 0.248
Zr 0.000 0.000 0.752
Zr 0.333 0.667 0.418
Zr 0.333 0.667 0.915
Zr 0.667 0.333 0.085
Zr 0.667 0.333 0.582
Mn 0.000 0.000 0.500
Mn 0.333 0.667 0.167
Mn 0.667 0.333 0.833
Be 0.000 0.000 0.000
Be 0.333 0.667 0.667
Be 0.667 0.333 0.333



No. 11
The following is a DFT calculation (meta-GGA SCAN) of Sc3TcHg at its PBEsol-relaxed geometry.

ΔH_f (0 K) = 0.03 eV per atom
VASP energy = -29.160 eV per atom

abc: 4.930 4.930 4.930
angles: 90.00 90.00 90.00
Fractional positions:
Sc 0.000 0.000 0.500
Sc 0.000 0.500 0.000
Sc 0.500 0.000 0.000
Tc 0.000 0.000 0.000
Hg 0.500 0.500 0.500



No. 12
The following is a DFT calculation (meta-GGA SCAN) of YZr5 at its PBEsol-relaxed geometry.

ΔH_f (0 K) = 0.06 eV per atom
VASP energy = -30.162 eV per atom

abc: 11.756 3.228 7.621
angles: 90.00 103.79 90.00
Fractional positions:
Y 0.000 0.000 0.000
Y 0.500 0.500 0.000
Zr 0.053 0.000 0.606
Zr 0.168 0.500 0.338
Zr 0.225 0.500 0.944
Zr 0.327 0.000 0.660
Zr 0.387 0.000 0.285
Zr 0.553 0.500 0.606
Zr 0.668 0.000 0.338
Zr 0.725 0.000 0.944
Zr 0.827 0.500 0.660
Zr 0.887 0.500 0.285